VASP calculation (PBE) on crystalline LiIrS2 at its relaxed geometry.

total magnetization = 0.00 μB per cell
raw formation energy = -0.448 eV per atom
electronic total energy = -5.206 eV/atom

Geometry as POSCAR:
```
LiIrS2
1.0
5.801 0.000 0.000
0.000 5.801 0.000
2.900 2.900 4.697
S Li Ir
4 2 2
Direct
0.875 0.905 0.750
0.375 0.345 0.750
0.095 0.625 0.250
0.655 0.125 0.250
0.250 0.750 0.500
0.500 0.500 0.000
0.750 0.250 0.500
0.000 0.000 0.000
```